Entry 1:
Crystalline ZrIrCl at its relaxed geometry, computed with PBE.

abc: 6.2541 3.4318 12.2069
angles: 90.00 90.00 90.00
Last column: nearest neighbours and their distance in Å.
Space group Ima2 (No. 46)
One atom of each set of equivalent atoms:
Zr: 0.0000 0.0000 0.0000 [4 per cell]  2 Cl 2.63, 4 Ir 2.69-2.71
Ir: 0.2500 0.0042 0.6123 [4 per cell]  1 Cl 2.68, 4 Zr 2.69-2.71
Cl: 0.2500 0.6174 0.3294 [4 per cell]  2 Zr 2.63, 1 Ir 2.68

Values from the calculation:
* total magnetic moment: 0.0 μB/cell
* formation energy from raw total energies: -0.777 eV per atom
* polymorph energy (0 for the lowest one): 266.9 meV per atom

Entry 2:
Crystalline ThPa2Re at its relaxed geometry, computed with PBE.

abc: 4.8054 4.8054 14.2520
angles: 90.00 90.00 120.00
Last column: nearest neighbours and their distance in Å.
Space group R-3m (No. 166, hexagonal axes)
One atom of each set of equivalent atoms:
Th: 0.0000 0.0000 0.0000 [3 per cell]  8 Pa 3.07-3.43
Pa: 0.0000 0.0000 0.2406 [6 per cell]  3 Re 2.97, 3 Th 3.07
Re: 0.0000 0.0000 0.5000 [3 per cell]  6 Pa 2.97

Values from the calculation:
* total magnetic moment: 0.0 μB/cell
* formation enthalpy at 0 K: 0.2942 eV/atom
* polymorph energy (0 for the lowest one): 257.7 meV per atom

Entry 3:
Crystalline K3Rb4Cd at its relaxed geometry, computed with PBE.

abc: 16.9660 16.9660 8.1614
angles: 90.00 90.00 90.00
Last column: nearest neighbours and their distance in Å.
Space group I4/mcm (No. 140)
One atom of each set of equivalent atoms:
K: 0.0000 0.0000 0.2500 [4 per cell]  2 K 4.08
K: 0.1287 0.3713 0.0000 [8 per cell]  2 Cd 3.70
Rb: 0.0915 0.2252 0.5000 [16 per cell]  1 Rb 4.40, 5 K 4.48-4.82
Cd: 0.0000 0.5000 0.2500 [4 per cell]  4 K 3.70, 2 Cd 4.08

Values from the calculation:
* total magnetic moment: 0.0 μB/cell
* formation enthalpy at 0 K: 0.0514 eV/atom

Entry 4:
Crystalline Na3NpRh3Se8 at its relaxed geometry, computed with PBE.

abc: 7.4951 7.4951 20.9834
angles: 90.00 90.00 120.00
Last column: nearest neighbours and their distance in Å.
Space group R-3m (No. 166, hexagonal axes)
One atom of each set of equivalent atoms:
Na: 0.0000 0.5000 0.0000 [9 per cell]  6 Se 3.02-3.09
Np: 0.0000 0.0000 0.5000 [3 per cell]  6 Se 2.79
Rh: 0.0000 0.5000 0.5000 [9 per cell]  6 Se 2.52-2.56
Se: 0.0000 0.0000 0.2283 [6 per cell]  3 Rh 2.52
Se: 0.0293 0.5146 0.7618 [18 per cell]  2 Rh 2.56, 1 Np 2.79

Values from the calculation:
* total magnetic moment: 8.6 μB/cell
* formation energy from raw total energies: -0.753 eV per atom

Entry 5:
Crystalline LiTcPt at its relaxed geometry, computed with PBE.

abc: 5.8316 5.8316 5.8316
angles: 90.00 90.00 90.00
Last column: nearest neighbours and their distance in Å.
Space group F-43m (No. 216)
One atom of each set of equivalent atoms:
Li: 0.0000 0.0000 0.0000 [4 per cell]  4 Pt 2.53
Tc: 0.0000 0.0000 0.5000 [4 per cell]  4 Pt 2.53
Pt: 0.2500 0.2500 0.7500 [4 per cell]  4 Li 2.53, 4 Tc 2.53

Values from the calculation:
* total magnetic moment: 0.0 μB/cell
* formation enthalpy at 0 K: 0.2037 eV/atom
* polymorph energy (0 for the lowest one): 443.5 meV per atom

Entry 6:
Crystalline HfZr2Ga at its relaxed geometry, computed with PBE.

abc: 3.2178 5.9243 9.3720
angles: 90.88 99.73 105.75
Last column: nearest neighbours and their distance in Å.
Space group P-1 (No. 2)
One atom of each set of equivalent atoms:
Hf: 0.0296 0.3996 0.1567 [2 per cell]  2 Ga 2.96, 7 Zr 3.08-3.25, 3 Hf 3.18-3.22
Zr: 0.2036 0.3249 0.5853 [2 per cell]  5 Ga 2.88-3.19, 5 Zr 3.00-3.22, 2 Hf 3.20-3.21
Zr: 0.2647 0.1484 0.8847 [2 per cell]  5 Zr 3.00-3.24, 2 Ga 3.04, 5 Hf 3.08-3.25
Ga: 0.4853 0.1190 0.3511 [2 per cell]  7 Zr 2.88-3.19, 2 Hf 2.96, 3 Ga 3.14-3.22

Values from the calculation:
* total magnetic moment: 0.0 μB/cell
* formation enthalpy at 0 K: -0.2421 eV/atom
* polymorph energy (0 for the lowest one): 53.6 meV per atom

Entry 7:
Crystalline La2CuRu2 at its relaxed geometry, computed with PBE.

abc: 7.1034 7.1034 4.2204
angles: 90.00 90.00 90.00
Last column: nearest neighbours and their distance in Å.
Space group P4/mbm (No. 127)
One atom of each set of equivalent atoms:
La: 0.1800 0.3200 0.0000 [4 per cell]  2 Ru 2.77
Cu: 0.0000 0.0000 0.5000 [2 per cell]  4 Ru 2.74
Ru: 0.1411 0.6411 0.5000 [4 per cell]  2 Cu 2.74, 2 La 2.77, 1 Ru 2.84

Values from the calculation:
* total magnetic moment: 0.0 μB/cell
* formation enthalpy at 0 K: -0.0648 eV/atom

Entry 8:
Crystalline CeEr3Ru2 at its relaxed geometry, computed with PBE.

abc: 6.6795 13.4047 7.0438
angles: 90.00 90.00 90.00
Last column: nearest neighbours and their distance in Å.
Space group Ibam (No. 72)
One atom of each set of equivalent atoms:
Ce: 0.0000 0.0000 0.0000 [4 per cell]  2 Ru 2.39
Er: 0.0000 0.2406 0.2500 [8 per cell]  4 Ru 2.90-3.01
Er: 0.0000 0.5000 0.2500 [4 per cell]  4 Ru 2.93
Ru: 0.2457 0.3750 0.0000 [8 per cell]  1 Ce 2.39

Values from the calculation:
* total magnetic moment: 0.8 μB/cell
* formation enthalpy at 0 K: -0.3651 eV/atom